Here is a relaxed structure of TlMo3O from Alexandria via LeMat-Bulk. Energies are from PBE with a Hubbard U.

Computed properties:
DOS at the Fermi energy ... 2.19 states/eV/cell
Energy above the lowest structure with this stoichiometry ... 0 meV per atom
E ... -4.93 eV/atom

```
data_TlMo3O
_cell_length_a 4.2581
_cell_length_b 4.2581
_cell_length_c 4.2581
_cell_angle_alpha 90.00
_cell_angle_beta 90.00
_cell_angle_gamma 90.00
_symmetry_space_group_name_H-M 'P 1'
_symmetry_Int_Tables_number 1
_symmetry_space_group_name_Hall 'P 1'
loop_
_atom_site_label
_atom_site_type_symbol
_atom_site_fract_x
_atom_site_fract_y
_atom_site_fract_z
Tl1 Tl 0.5000 0.5000 0.5000
Mo1 Mo 0.0000 0.5000 0.0000
Mo2 Mo 0.0000 0.0000 0.5000
Mo3 Mo 0.5000 0.0000 0.0000
O1 O 0.0000 0.0000 0.0000
```